1.
The following is a PBE-GGA calculation of an optimized crystal structure of Y2MgInAu4, from OQMD via LeMat-Bulk.

a b c (Å): 4.9159 4.9159 7.0207
angles (deg): 90.00 90.00 90.00
Element x y z (fractional)
Y 0.0000 0.0000 0.0000
Y 0.5000 0.5000 0.5000
Mg 0.0000 0.0000 0.5000
In 0.5000 0.5000 0.0000
Au 0.0000 0.5000 0.2599
Au 0.0000 0.5000 0.7401
Au 0.5000 0.0000 0.2599
Au 0.5000 0.0000 0.7401

2.
The following is a PBE-GGA calculation of an optimized crystal structure of InMoAu2, from OQMD via LeMat-Bulk.

a b c (Å): 4.6828 4.6828 4.6828
angles (deg): 60.00 60.00 60.00
Element x y z (fractional)
In 0.0000 0.0000 0.0000
Mo 0.2500 0.2500 0.2500
Au 0.5000 0.5000 0.5000
Au 0.7500 0.7500 0.7500

3.
The following is a PBE-GGA calculation of an optimized crystal structure of InNiMoAu, from OQMD via LeMat-Bulk.

a b c (Å): 4.5361 4.5361 4.5361
angles (deg): 60.00 60.00 60.00
Element x y z (fractional)
In 0.0000 0.0000 0.0000
Ni 0.2500 0.2500 0.2500
Mo 0.7500 0.7500 0.7500
Au 0.5000 0.5000 0.5000

In μB per atom, the total magnetization values for the records above are, in order, 0.002, 0.533, 0.375.
In eV for the cell shown, the energy values for the records above are, in order, -36.30, -18.79, -21.09.